# SiPIr2

SiPIr2 after structural relaxation (PBE, Alexandria via LeMat-Bulk).

## Properties
The uncorrected formation energy is -0.233 eV per atom. As for the total moment: 0.000 μB/atom. The energy above the lowest structure with this stoichiometry is 0.134 eV/atom. Its total energy is -7.37 eV per atom. Its space group is P2/m, No. 10.

Cell: 2.901 5.035 5.068 Å, 48.22 90.00 90.00°
Element x y z (fractional)
P  0.500  0.500  0.500
Si  0.000  0.000  0.500
Ir  0.500  0.500  0.000
Ir  0.000  0.000  0.000